1.
A relaxed structure of Pt2PbCl, computed with GGA-PBE.

electronic total energy: -16.6 eV per formula unit
relative energy among the computed polymorphs: 0.341 eV per atom
total magnetization: 0.00 μB per formula unit
E_form (uncorrected): 5.837 kcal/mol of atoms
crystal system: tetragonal

a b c (Å): 7.4965 7.4965 6.0386
angles (deg): 51.63 51.63 90.00
Fractional positions:
Pt 0.1316 0.6250 0.2500
Cl 0.5000 0.5000 0.0000
Pb 0.0000 0.0000 0.0000
Cl 0.2500 0.7500 0.5000
Pb 0.7500 0.2500 0.5000
Pt 0.6184 0.1250 0.2500
Pt 0.8750 0.8684 0.7500
Pt 0.3750 0.3816 0.7500


2.
A relaxed structure of PmSm2Rh9, computed with GGA-PBE.

electronic total energy: -86.7 eV per formula unit
energy of formation from the pure elements: -6.4 eV per formula unit
total magnetization: 0.00 μB per formula unit
crystal system: trigonal

a b c (Å): 5.3049 5.3049 9.3502
angles (deg): 73.52 73.52 60.00
Fractional positions:
Rh 0.5818 0.5818 0.7540
Sm 0.1389 0.1389 0.5833
Rh 0.3328 0.3328 0.0015
Pm 0.0000 0.0000 0.0000
Rh 0.6672 0.6672 0.9985
Rh 0.5818 0.0825 0.7540
Rh 0.4182 0.4182 0.2460
Rh 0.0825 0.5818 0.7540
Sm 0.8611 0.8611 0.4167
Rh 0.5000 0.5000 0.5000
Rh 0.4182 0.9175 0.2460
Rh 0.9175 0.4182 0.2460